This record from Alexandria describes YP2PtO at its PBEsol-relaxed geometry. The functional is meta-GGA SCAN.

Summary:
Formation energy (no corrections) in eV/atom: 0.412
Total energy in eV/cell: -123.01
Density in g/cm³: 5.6

Unit cell a=3.9400 b=5.2079 c=5.2079 alpha=90.00 beta=90.00 gamma=90.00
Atoms (fractional coordinates):
P (0.0000, 0.0000, 0.5000)
P (0.0000, 0.5000, 0.0000)
Pt (0.5000, 0.5000, 0.5000)
Y (0.0000, 0.0000, 0.0000)
O (0.5000, 0.0000, 0.0000)

This record from Alexandria describes ZrP2PtO at its PBEsol-relaxed geometry. The functional is meta-GGA SCAN.

Summary:
Formation energy (no corrections) in eV/atom: -0.129
Total energy in eV/cell: -128.57
Density in g/cm³: 7.2

Unit cell a=3.7788 b=4.7024 c=4.7024 alpha=90.00 beta=90.00 gamma=90.00
Atoms (fractional coordinates):
P (0.0000, 0.5000, 0.0000)
P (0.0000, 0.0000, 0.5000)
Zr (0.5000, 0.5000, 0.5000)
O (0.5000, 0.0000, 0.0000)
Pt (0.0000, 0.0000, 0.0000)

This record from Alexandria describes RbPO2 at its PBEsol-relaxed geometry. The functional is meta-GGA SCAN.

Summary:
Formation energy (no corrections) in eV/atom: -0.505
Total energy in eV/cell: -45.62
Density in g/cm³: 3.9

Unit cell a=3.2014 b=3.2014 c=7.2922 alpha=77.32 beta=77.32 gamma=60.00
Atoms (fractional coordinates):
P (0.5000, 0.5000, 0.5000)
O (0.8807, 0.8807, 0.3579)
O (0.1193, 0.1193, 0.6421)
Rb (0.0000, 0.0000, 0.0000)

This record from Alexandria describes Rb3PO at its PBEsol-relaxed geometry. The functional is meta-GGA SCAN.

Summary:
Formation energy (no corrections) in eV/atom: -0.486
Total energy in eV/cell: -81.28
Density in g/cm³: 3.2

Unit cell a=5.4149 b=5.4149 c=5.4149 alpha=90.00 beta=90.00 gamma=90.00
Atoms (fractional coordinates):
Rb (0.0000, 0.0000, 0.5000)
Rb (0.0000, 0.5000, 0.0000)
Rb (0.5000, 0.0000, 0.0000)
O (0.0000, 0.0000, 0.0000)
P (0.5000, 0.5000, 0.5000)

This record from Alexandria describes Rb3PO4 at its PBEsol-relaxed geometry. The functional is meta-GGA SCAN.

Summary:
Formation energy (no corrections) in eV/atom: -2.405
Total energy in eV/cell: -467.13
Density in g/cm³: 3.9

Unit cell a=6.1592 b=8.3870 c=11.6183 alpha=90.00 beta=90.00 gamma=90.00
Atoms (fractional coordinates):
Rb (0.8085, 0.0080, 0.3556)
Rb (0.6915, 0.4920, 0.8556)
Rb (0.3642, 0.2500, 0.4293)
Rb (0.6915, 0.0080, 0.8556)
Rb (0.3085, 0.5080, 0.1444)
Rb (0.8085, 0.4920, 0.3556)
Rb (0.3085, 0.9920, 0.1444)
Rb (0.8642, 0.7500, 0.0707)
Rb (0.6358, 0.7500, 0.5707)
Rb (0.1358, 0.2500, 0.9293)
Rb (0.1915, 0.5080, 0.6444)
Rb (0.1915, 0.9920, 0.6444)
O (0.0858, 0.7500, 0.2711)
O (0.5566, 0.2500, 0.0110)
O (0.3634, 0.9027, 0.3914)
O (0.6366, 0.4027, 0.6086)
O (0.0566, 0.7500, 0.4890)
O (0.1366, 0.5973, 0.8914)
O (0.4434, 0.7500, 0.9890)
O (0.8634, 0.0973, 0.1086)
O (0.9142, 0.2500, 0.7289)
O (0.9434, 0.2500, 0.5110)
O (0.4142, 0.7500, 0.7711)
O (0.1366, 0.9027, 0.8914)
O (0.5858, 0.2500, 0.2289)
O (0.3634, 0.5973, 0.3914)
O (0.8634, 0.4027, 0.1086)
O (0.6366, 0.0973, 0.6086)
P (0.2809, 0.7500, 0.8853)
P (0.2191, 0.7500, 0.3853)
P (0.7191, 0.2500, 0.1147)
P (0.7809, 0.2500, 0.6147)

This record from Alexandria describes RbRePO2 at its PBEsol-relaxed geometry. The functional is meta-GGA SCAN.

Summary:
Formation energy (no corrections) in eV/atom: 1.900
Total energy in eV/cell: -105.20
Density in g/cm³: 5.8

Unit cell a=3.9428 b=3.9428 c=6.1755 alpha=90.00 beta=90.00 gamma=90.00
Atoms (fractional coordinates):
P (0.0000, 0.0000, 0.5000)
O (0.5000, 0.0000, 0.0000)
O (0.0000, 0.5000, 0.0000)
Re (0.5000, 0.5000, 0.5000)
Rb (0.0000, 0.0000, 0.0000)

This record from Alexandria describes RbP2RhO at its PBEsol-relaxed geometry. The functional is meta-GGA SCAN.

Summary:
Formation energy (no corrections) in eV/atom: 2.207
Total energy in eV/cell: -70.51
Density in g/cm³: 4.4

Unit cell a=3.8854 b=5.1067 c=5.1067 alpha=90.00 beta=90.00 gamma=90.00
Atoms (fractional coordinates):
Rb (0.0000, 0.0000, 0.0000)
O (0.5000, 0.0000, 0.0000)
P (0.0000, 0.5000, 0.0000)
P (0.0000, 0.0000, 0.5000)
Rh (0.5000, 0.5000, 0.5000)

This record from Alexandria describes RbPS2O at its PBEsol-relaxed geometry. The functional is meta-GGA SCAN.

Summary:
Formation energy (no corrections) in eV/atom: 1.702
Total energy in eV/cell: -48.12
Density in g/cm³: 1.1

Unit cell a=6.4575 b=6.4575 c=7.0795 alpha=90.00 beta=90.00 gamma=90.00
Atoms (fractional coordinates):
P (0.0000, 0.0000, 0.5000)
S (0.0000, 0.5000, 0.0000)
S (0.5000, 0.0000, 0.0000)
Rb (0.0000, 0.0000, 0.0000)
O (0.5000, 0.5000, 0.5000)

This record from Alexandria describes RbSb2PO8 at its PBEsol-relaxed geometry. The functional is meta-GGA SCAN.

Summary:
Formation energy (no corrections) in eV/atom: -1.948
Total energy in eV/cell: -715.55
Density in g/cm³: 4.8

Unit cell a=7.1560 b=7.2202 c=15.1288 alpha=95.69 beta=90.00 gamma=119.71
Atoms (fractional coordinates):
Sb (0.5471, 0.8373, 0.2786)
Sb (0.9754, 0.6889, 0.9686)
Sb (0.6211, 0.9800, 0.5955)
Sb (0.0443, 0.8317, 0.2856)
Sb (0.2902, 0.8373, 0.7786)
Sb (0.3590, 0.9800, 0.0955)
Sb (0.7874, 0.8317, 0.7856)
Sb (0.7135, 0.6889, 0.4686)
O (0.2391, 0.0782, 0.3794)
O (0.7612, 0.6800, 0.0635)
O (0.9149, 0.6692, 0.3871)
O (0.7543, 0.6692, 0.8871)
O (0.7821, 0.3028, 0.5953)
O (0.2306, 0.7024, 0.2788)
O (0.4196, 0.9997, 0.6770)
O (0.5032, 0.1108, 0.8584)
O (0.9188, 0.6800, 0.5635)
O (0.8138, 0.3662, 0.9689)
O (0.8391, 0.0782, 0.8794)
O (0.8626, 0.9665, 0.2853)
O (0.6076, 0.1108, 0.3584)
O (0.1652, 0.0000, 0.0054)
O (0.1039, 0.9665, 0.7853)
O (0.1879, 0.0121, 0.1914)
O (0.5524, 0.3662, 0.4689)
O (0.5207, 0.3028, 0.0953)
O (0.4157, 0.9890, 0.5007)
O (0.0954, 0.5907, 0.6848)
O (0.8313, 0.5582, 0.2057)
O (0.5801, 0.9997, 0.1770)
O (0.8349, 0.0000, 0.5054)
O (0.5733, 0.9890, 0.0007)
O (0.1692, 0.6689, 0.0588)
O (0.4953, 0.5907, 0.1848)
O (0.1466, 0.6570, 0.8729)
O (0.5104, 0.6570, 0.3729)
O (0.4718, 0.7024, 0.7788)
O (0.8241, 0.0121, 0.6914)
O (0.4997, 0.6689, 0.5588)
O (0.7269, 0.5582, 0.7057)
P (0.4558, 0.1338, 0.4261)
P (0.8787, 0.5352, 0.6381)
P (0.6565, 0.5352, 0.1381)
P (0.6780, 0.1338, 0.9261)
Rb (0.3164, 0.3947, 0.9205)
Rb (0.0783, 0.3947, 0.4205)
Rb (0.2566, 0.2748, 0.6441)
Rb (0.0182, 0.2748, 0.1441)

This record from Alexandria describes Rb2ScPO at its PBEsol-relaxed geometry. The functional is meta-GGA SCAN.

Summary:
Formation energy (no corrections) in eV/atom: 0.238
Total energy in eV/cell: -71.16
Density in g/cm³: 2.5

Unit cell a=3.5289 b=7.0201 c=7.0201 alpha=90.00 beta=90.00 gamma=90.00
Atoms (fractional coordinates):
P (0.0000, 0.0000, 0.0000)
Rb (0.0000, 0.5000, 0.0000)
Rb (0.0000, 0.0000, 0.5000)
O (0.5000, 0.0000, 0.0000)
Sc (0.5000, 0.5000, 0.5000)

This record from Alexandria describes RbSmP4O12 at its PBEsol-relaxed geometry. The functional is meta-GGA SCAN.

Summary:
Formation energy (no corrections) in eV/atom: -2.729
Total energy in eV/cell: -461.34
Density in g/cm³: 3.7

Unit cell a=7.4978 b=7.4978 c=10.5967 alpha=100.98 beta=100.98 gamma=116.53
Atoms (fractional coordinates):
P (0.6950, 0.7446, 0.4438)
P (0.3753, 0.7087, 0.9909)
P (0.7087, 0.3753, 0.4909)
P (0.2913, 0.6247, 0.5091)
P (0.2554, 0.3050, 0.0562)
P (0.3050, 0.2554, 0.5562)
P (0.7446, 0.6950, 0.9438)
P (0.6247, 0.2913, 0.0091)
O (0.1566, 0.1384, 0.4147)
O (0.0935, 0.4845, 0.3928)
O (0.2525, 0.1807, 0.6716)
O (0.4721, 0.7251, 0.4401)
O (0.8073, 0.3097, 0.1095)
O (0.4845, 0.0935, 0.8928)
O (0.3097, 0.8073, 0.6095)
O (0.1384, 0.1566, 0.9147)
O (0.8193, 0.7475, 0.8284)
O (0.9065, 0.5155, 0.6072)
O (0.5279, 0.2749, 0.5599)
O (0.5020, 0.6376, 0.9076)
O (0.1927, 0.6903, 0.8905)
O (0.2749, 0.5279, 0.0599)
O (0.5155, 0.9065, 0.1072)
O (0.7251, 0.4721, 0.9401)
O (0.8434, 0.8616, 0.5853)
O (0.3624, 0.4980, 0.5924)
O (0.8616, 0.8434, 0.0853)
O (0.6376, 0.5020, 0.4076)
O (0.1807, 0.2525, 0.1716)
O (0.7475, 0.8193, 0.3284)
O (0.4980, 0.3624, 0.0924)
O (0.6903, 0.1927, 0.3905)
Sm (0.1214, 0.8786, 0.7500)
Sm (0.8786, 0.1214, 0.2500)
Rb (0.8114, 0.1886, 0.7500)
Rb (0.1886, 0.8114, 0.2500)

This record from Alexandria describes RbSn2P3O12 at its PBEsol-relaxed geometry. The functional is meta-GGA SCAN.

Summary:
Formation energy (no corrections) in eV/atom: -2.315
Total energy in eV/cell: -480.43
Density in g/cm³: 4.2

Unit cell a=8.3581 b=8.3581 c=9.3753 alpha=63.53 beta=63.53 gamma=60.00
Atoms (fractional coordinates):
Sn (0.1557, 0.1557, 0.5330)
Sn (0.6492, 0.6492, 0.0523)
Sn (0.8443, 0.8443, 0.4670)
Sn (0.3508, 0.3508, 0.9477)
O (0.0401, 0.6789, 0.3092)
O (0.7350, 0.4774, 0.9123)
O (0.7061, 0.6551, 0.6119)
O (0.3744, 0.2327, 0.7849)
O (0.6551, 0.0269, 0.6119)
O (0.0281, 0.9599, 0.6908)
O (0.0269, 0.7061, 0.6119)
O (0.9731, 0.2939, 0.3881)
O (0.9599, 0.3211, 0.6908)
O (0.2650, 0.5226, 0.0877)
O (0.4774, 0.8753, 0.9123)
O (0.7673, 0.3920, 0.2151)
O (0.6256, 0.7673, 0.2151)
O (0.6789, 0.9719, 0.3092)
O (0.2327, 0.6080, 0.7849)
O (0.1247, 0.2650, 0.0877)
O (0.3449, 0.9731, 0.3881)
O (0.6080, 0.3744, 0.7849)
O (0.8753, 0.7350, 0.9123)
O (0.5226, 0.1247, 0.0877)
O (0.3211, 0.0281, 0.6908)
O (0.2939, 0.3449, 0.3881)
O (0.9719, 0.0401, 0.3092)
O (0.3920, 0.6256, 0.2151)
P (0.9616, 0.2480, 0.2510)
P (0.4607, 0.0384, 0.7490)
P (0.5393, 0.9616, 0.2510)
P (0.0384, 0.7520, 0.7490)
P (0.7520, 0.4607, 0.7490)
P (0.2480, 0.5393, 0.2510)
Rb (0.5000, 0.5000, 0.5000)
Rb (0.0000, 0.0000, 0.0000)

Copy entry 2 word for word.
This record from Alexandria describes ZrP2PtO at its PBEsol-relaxed geometry. The functional is meta-GGA SCAN.

Summary:
Formation energy (no corrections) in eV/atom: -0.129
Total energy in eV/cell: -128.57
Density in g/cm³: 7.2

Unit cell a=3.7788 b=4.7024 c=4.7024 alpha=90.00 beta=90.00 gamma=90.00
Atoms (fractional coordinates):
P (0.0000, 0.5000, 0.0000)
P (0.0000, 0.0000, 0.5000)
Zr (0.5000, 0.5000, 0.5000)
O (0.5000, 0.0000, 0.0000)
Pt (0.0000, 0.0000, 0.0000)